Entry 1:
{
  "formula": "CsMgAgF6",
  "functional": "GGA-PBE",
  "state": "optimized geometry",
  "formation_energy_uncorrected_ev_per_atom": -2.288,
  "vol_a3_per_cell": 313.4,
  "lattice_angstrom": [[-6.666, -1.510, -2.872], [1.009, -7.669, 1.690], [0.593, 5.350, 5.380]],
  "species": ["F", "F", "Ag", "F", "F", "Mg", "Mg", "Cs", "F", "F", "Cs", "F", "Ag", "F", "F", "F", "F", "F"],
  "frac_coords": [[0.588, 0.938, 0.755], [0.166, 0.317, 0.755], [0.500, 0.000, 0.000], [0.834, 0.062, 0.245], [0.573, 0.323, 0.146], [0.000, 0.000, 0.500], [0.500, 0.000, 0.500], [0.900, 0.650, 0.800], [0.196, 0.946, 0.393], [0.166, 0.938, 0.755], [0.100, 0.350, 0.200], [0.588, 0.317, 0.755], [0.500, 0.500, 0.000], [0.804, 0.054, 0.607], [0.412, 0.062, 0.245], [0.412, 0.683, 0.245], [0.427, 0.677, 0.854], [0.834, 0.683, 0.245]]
}

Entry 2:
{
  "formula": "Cs3MgAg2F9",
  "functional": "GGA-PBE",
  "state": "optimized geometry",
  "formation_energy_uncorrected_ev_per_atom": -2.295,
  "vol_a3_per_cell": 258.1,
  "lattice_angstrom": [[-1.236, 5.364, -2.939], [0.443, -5.308, -3.250], [-7.497, -1.207, 0.950]],
  "species": ["F", "Cs", "F", "Mg", "Cs", "F", "Ag", "F", "F", "Ag", "F", "F", "F", "Cs", "F"],
  "frac_coords": [[0.000, 0.500, 0.000], [0.000, 0.000, 0.000], [0.500, 0.500, 0.000], [0.000, 0.000, 0.500], [0.333, 0.667, 0.665], [0.500, 0.000, 0.000], [0.667, 0.333, 0.825], [0.156, 0.844, 0.344], [0.688, 0.844, 0.344], [0.333, 0.667, 0.175], [0.844, 0.156, 0.656], [0.156, 0.312, 0.344], [0.312, 0.156, 0.656], [0.667, 0.333, 0.335], [0.844, 0.688, 0.656]]
}

Entry 3:
{
  "formula": "Cs2Mg2AgF7",
  "functional": "GGA-PBE",
  "state": "optimized geometry",
  "formation_energy_uncorrected_ev_per_atom": -2.827,
  "vol_a3_per_cell": 197.1,
  "lattice_angstrom": [[4.133, -0.003, 0.011], [0.002, 4.133, 0.011], [2.039, 2.036, 11.550]],
  "species": ["F", "Ag", "F", "Mg", "Cs", "Mg", "F", "Cs", "F", "F", "F", "F"],
  "frac_coords": [[0.416, 0.916, 0.168], [0.000, 0.000, 0.000], [0.328, 0.328, 0.345], [0.585, 0.585, 0.831], [0.183, 0.183, 0.634], [0.415, 0.415, 0.169], [0.500, 0.500, 0.000], [0.817, 0.817, 0.366], [0.916, 0.416, 0.168], [0.084, 0.584, 0.832], [0.672, 0.672, 0.655], [0.584, 0.084, 0.832]]
}